A plane-wave DFT calculation with PBE was carried out for an optimized crystal structure of AlCd2Os.

Computed properties:
Formation enthalpy at 0 K: 543 meV per atom
Crystal system: tetragonal

CIF file:
```
data_AlCd2Os
_symmetry_space_group_name_H-M 'P 4/m m m'
_symmetry_Int_Tables_number 123
_symmetry_space_group_name_Hall '-P 4 2'
_cell_length_a 2.894
_cell_length_b 2.894
_cell_length_c 8.805
_cell_angle_alpha 90.00
_cell_angle_beta 90.00
_cell_angle_gamma 90.00
loop_
_atom_site_label
_atom_site_fract_x
_atom_site_fract_y
_atom_site_fract_z
Al1 0.000 0.000 0.000
Cd1 0.500 0.500 0.264
Os1 0.000 0.000 0.500
```